[1]
AlNiPt6: optimized geometry, PBE-GGA.

The structure in POSCAR format:
```
AlNiPt6
1.0
-0.1134 -0.8594 -4.5831
4.4654 0.5904 1.2119
-1.7135 -5.5178 2.7339
Al Ni Pt
1 1 6
direct
0.0000 0.0000 0.0000
0.5000 0.5000 0.0000
0.6180 0.1180 0.2359
0.8820 0.3821 0.7640
0.2537 0.2537 0.5074
0.1180 0.6179 0.2360
0.3820 0.8820 0.7641
0.7463 0.7463 0.4926
```

Properties
Its space-group type is No. 69. The crystal system is orthorhombic.

[2]
AlNi12Pt3: optimized geometry, PBE-GGA.

The structure in POSCAR format:
```
AlNi12Pt3
1.0
-1.7042 -0.8421 -3.1001
2.6457 -2.3585 -0.8137
-7.2777 -10.5314 6.8615
Ni Al Pt
12 1 3
direct
0.5000 0.5000 0.0000
0.5000 0.5000 0.2454
0.5000 0.5000 0.5000
0.5000 0.5000 0.7546
0.5000 0.0000 0.1197
0.5000 0.0000 0.3730
0.5000 0.0000 0.6270
0.5000 0.0000 0.8803
0.0000 0.5000 0.1197
0.0000 0.5000 0.3730
0.0000 0.5000 0.6270
0.0000 0.5000 0.8803
0.0000 0.0000 0.0000
0.0000 0.0000 0.2472
0.0000 0.0000 0.5000
0.0000 0.0000 0.7528
```

Properties
Its space-group type is No. 123. The crystal system is tetragonal.

[3]
AlNiPt: optimized geometry, PBE-GGA.

The structure in POSCAR format:
```
AlNiPt
1.0
-2.9552 -0.5165 -2.6942
0.8280 -1.5530 -3.6278
-1.2493 -3.7182 -0.9342
Ni Al Pt
1 1 1
direct
0.7500 0.7500 0.7500
0.5000 0.5000 0.5000
0.0000 0.0000 0.0000
```

Properties
Its space-group type is No. 216. The crystal system is cubic.

[4]
AlNi2Pt5: optimized geometry, PBE-GGA.

The structure in POSCAR format:
```
AlNi2Pt5
1.0
3.9125 0.0000 0.0000
0.0000 5.4203 0.0000
0.0000 0.0000 10.7879
Al Ni Pt
2 4 10
direct
0.0000 0.0000 0.5000
0.0000 0.5000 0.0000
0.5000 0.2800 0.3678
0.5000 0.7200 0.6322
0.5000 0.2200 0.8678
0.5000 0.7800 0.1322
0.5000 0.2785 0.1138
0.5000 0.7215 0.8862
0.5000 0.7785 0.3862
0.5000 0.2215 0.6138
0.0000 0.9686 0.7405
0.0000 0.0314 0.2595
0.0000 0.4686 0.7595
0.0000 0.5314 0.2405
0.0000 0.5000 0.5000
0.0000 0.0000 0.0000
```

Properties
Its space-group type is No. 55. The crystal system is orthorhombic.

[5]
AlNi23Pt6: optimized geometry, PBE-GGA.

The structure in POSCAR format:
```
AlNi23Pt6
1.0
-2.6281 -7.1872 2.4158
2.9604 -6.6788 -3.3208
4.8105 -4.8071 4.2603
Al Ni Pt
1 23 6
direct
0.5000 0.5000 0.5000
0.6343 0.1219 0.1219
0.3657 0.8781 0.8781
0.1219 0.1219 0.6343
0.1219 0.1219 0.1219
0.8781 0.8781 0.3657
0.8781 0.8781 0.8781
0.1219 0.6343 0.1219
0.8781 0.3657 0.8781
0.5000 0.5000 0.0000
0.0000 0.0000 0.5000
0.5000 0.0000 0.0000
0.0000 0.5000 0.5000
0.5000 0.0000 0.5000
0.0000 0.5000 0.0000
0.9974 0.3342 0.3342
0.0026 0.6658 0.6658
0.3342 0.3342 0.9974
0.3342 0.3342 0.3342
0.6658 0.6658 0.0026
0.6658 0.6658 0.6658
0.3342 0.9974 0.3342
0.6658 0.0026 0.6658
0.0000 0.0000 0.0000
0.7248 0.7248 0.2752
0.2752 0.2752 0.7248
0.7248 0.2752 0.2752
0.2752 0.7248 0.7248
0.7248 0.2752 0.7248
0.2752 0.7248 0.2752
```

Properties
Its space-group type is No. 225. The crystal system is cubic.

[6]
AlNiPt4: optimized geometry, PBE-GGA.

The structure in POSCAR format:
```
AlNiPt4
1.0
-1.5827 -2.5772 -3.1883
1.1191 -4.3237 2.9394
-7.1295 1.6906 5.2012
Al Ni Pt
2 2 8
direct
0.5744 0.8220 0.1488
0.4256 0.3220 0.8512
0.8482 0.8227 0.6965
0.1518 0.3227 0.3035
0.8501 0.3229 0.7002
0.1499 0.8229 0.2998
0.4368 0.8211 0.8737
0.5632 0.3211 0.1263
0.7019 0.5700 0.4039
0.2981 0.0700 0.5961
0.7024 0.0746 0.4047
0.2976 0.5746 0.5953
```

Properties
Its space-group type is No. 63. The excess energy over the best structure of this formula in the dataset is 0.987 eV/f.u. The crystal system is orthorhombic.

Table of energy of formation (eV per atom), in record order: -0.332 -0.156 -0.374 -0.386 -0.014 -0.147
Table of total DFT energy (no corrections) (eV for the cell shown), in record order: -48.43 -93.74 -16.69 -97.19 -173.39 -69.13